Here is an optimized crystal structure of TePCl2 from Alexandria via LeMat-Bulk. Energies are from GGA-PBEsol.

Summary:
Crystal system: trigonal
Total magnetic moment, μB per formula unit: 0.00
E_form (uncorrected), eV per atom: 0.301
Electronic total energy, eV/f.u.: -12.1

Unit cell a=3.227 b=3.227 c=9.714 alpha=80.44 beta=80.44 gamma=60.00
Fractional coordinates of all 4 atoms:
Cl 0.230 0.230 0.311
Cl 0.770 0.770 0.689
P 0.500 0.500 0.500
Te 0.000 0.000 0.000